1.
Entry from Alexandria via LeMat-Bulk: crystalline Pa2SbI at its relaxed geometry (PBE).

Calculated values
Density   11.19 g/cm³
Relative energy among the computed polymorphs   0.0000 eV per atom
Raw formation energy   -97 kJ/mol of formula units
Space group   Fm-3m (225)

a = 5.3028 Å, b = 5.3028 Å, c = 5.3028 Å
α = 60.00°, β = 60.00°, γ = 60.00°
Each line ends with the local moment (μB).
Element x y z (fractional)
1 Pa 0.2500 0.2500 0.2500  0.89
2 Sb 0.0000 0.0000 0.0000  -0.03
3 I 0.5000 0.5000 0.5000  -0.02
4 Pa 0.7500 0.7500 0.7500  0.89

2.
Entry from Alexandria via LeMat-Bulk: crystalline MgOs2F2 at its relaxed geometry (PBE).

Calculated values
Density   7.37 g/cm³
Relative energy among the computed polymorphs   0.0000 eV per atom
Raw formation energy   -114 kJ/mol of formula units
Space group   I4/mmm (139)

a = 3.3366 Å, b = 3.3366 Å, c = 9.2674 Å
α = 79.63°, β = 79.63°, γ = 90.00°
Element x y z (fractional)
1 Os 0.2500 0.7500 0.5000
2 F 0.5640 0.5640 0.8720
3 Mg 0.0000 0.0000 0.0000
4 Os 0.7500 0.2500 0.5000
5 F 0.4360 0.4360 0.1280

3.
Entry from Alexandria via LeMat-Bulk: crystalline Li2NdThGe2 at its relaxed geometry (PBE).

Calculated values
E_form   -59.51 kJ per mole of atoms
Density   6.78 g/cm³
Space group   P-3m1 (164)

a = 4.5089 Å, b = 4.5089 Å, c = 7.4443 Å
α = 90.00°, β = 90.00°, γ = 120.00°
Element x y z (fractional)
1 Ge 0.3333 0.6667 0.2564
2 Ge 0.6667 0.3333 0.7436
3 Nd 0.0000 0.0000 0.0000
4 Li 0.3333 0.6667 0.7635
5 Li 0.6667 0.3333 0.2365
6 Th 0.0000 0.0000 0.5000

4.
Entry from Alexandria via LeMat-Bulk: crystalline BeSiSb at its relaxed geometry (PBE).

Calculated values
Density   4.89 g/cm³
Relative energy among the computed polymorphs   0.3605 eV per atom
Raw formation energy   159 kJ/mol of formula units
Space group   I4mm (107)

a = 5.8706 Å, b = 5.8706 Å, c = 5.8706 Å
α = 148.86°, β = 148.86°, γ = 44.62°
Element x y z (fractional)
1 Sb 0.3550 0.3550 0.0000
2 Be 0.0308 0.0308 0.0000
3 Si 0.6142 0.6142 0.0000

> Which of these has the lowest density?

BeSiSb